TbSm5Tm2 after structural relaxation. Source: Alexandria via LeMat-Bulk, functional PBE.

Results
For the energy above the most stable polymorph in this dataset, the calculation gives 147 meV per atom. The calculation puts the uncorrected energy at -4.48 eV per atom. The calculation puts the calculated volume at 538.3 Å³ per cell. The space-group type is P2_1/m.

Unit cell a=5.740 b=11.388 c=8.575 alpha=90.00 beta=106.20 gamma=90.00
Sites, in units of the cell vectors:
1 Tb 0.005 0.250 0.153
2 Tb 0.995 0.750 0.847
3 Sm 0.161 0.577 0.207
4 Sm 0.161 0.923 0.207
5 Sm 0.266 0.250 0.584
6 Sm 0.304 0.578 0.622
7 Sm 0.304 0.922 0.622
8 Sm 0.696 0.078 0.378
9 Sm 0.696 0.422 0.378
10 Sm 0.734 0.750 0.416
11 Sm 0.839 0.077 0.793
12 Sm 0.839 0.423 0.793
13 Tm 0.397 0.119 0.968
14 Tm 0.397 0.381 0.968
15 Tm 0.603 0.619 0.032
16 Tm 0.603 0.881 0.032